Below is a relaxed Pr4Dy11Ho9 crystal, with properties calculated at the PBE level.

The structure belongs to space group Cmmm (No. 65); the cell edges are 16.3060, 26.4125 and 3.6034 Å and the angles 90.00°, 90.00° and 90.00°. The distinct sites, in fractional coordinates, are Pr at (0.1710, 0.0883, 0.0000), Dy at (0.0000, 0.1242, 0.5000), Dy at (0.0000, 0.3131, 0.5000), Dy at (0.0000, 0.5000, 0.5000), Dy at (0.2108, 0.5000, 0.5000), Dy at (0.2186, 0.3139, 0.5000), Ho at (0.0000, 0.0000, 0.0000), Ho at (0.1063, 0.2197, 0.0000) and Ho at (0.1090, 0.4062, 0.0000).

The formation energy comes out at 0.0428 eV per atom.

---

Below is a relaxed SrTi2Ru crystal, with properties calculated at the PBE level.

The structure belongs to space group Fm-3m (No. 225); the cell edges are 6.7087, 6.7087 and 6.7087 Å and the angles 90.00°, 90.00° and 90.00°. The distinct sites, in fractional coordinates, are Sr at (0.0000, 0.0000, 0.0000), Ti at (0.2500, 0.2500, 0.2500) and Ru at (0.0000, 0.0000, 0.5000).

The formation energy comes out at 0.4765 eV per atom. Its energy above the most stable polymorph in this dataset is 0.0 meV/atom.

---

Below is a relaxed Te2As crystal, with properties calculated at the PBE level.

The structure belongs to space group C2/m (No. 12); the cell edges are 11.7898, 3.4553 and 9.7817 Å and the angles 90.00°, 102.21° and 90.00°. The distinct sites, in fractional coordinates, are Te at (0.1022, 0.0000, 0.3179), Te at (0.1654, 0.5000, 0.7003) and As at (0.1726, 0.5000, 0.9762).

Its energy above the most stable polymorph in this dataset is 58.4 meV/atom. The uncorrected formation energy comes out at 0.098 eV per atom.

---

Below is a relaxed Pm4Si2H crystal, with properties calculated at the PBE level.

The structure belongs to space group P2_1/m (No. 11); the cell edges are 6.4365, 6.5000 and 8.6612 Å and the angles 90.00°, 109.37° and 90.00°. The distinct sites, in fractional coordinates, are Pm at (0.0121, 0.0004, 0.2649), Pm at (0.4083, 0.2500, 0.0896), Pm at (0.4320, 0.2500, 0.6215), Si at (0.2141, 0.7500, 0.0481), Si at (0.2647, 0.7500, 0.5721) and H at (0.2509, 0.2500, 0.8109).

Its energy above the most stable polymorph in this dataset is 0.0 meV/atom.

---

Below is a relaxed PmScTe crystal, with properties calculated at the PBE level.

The structure belongs to space group C2/m (No. 12); the cell edges are 21.8772, 4.0185 and 7.7711 Å and the angles 90.00°, 100.38° and 90.00°. The distinct sites, in fractional coordinates, are Pm at (0.0323, 0.0000, 0.2465), Pm at (0.1067, 0.5000, 0.9522), Sc at (0.1883, 0.5000, 0.5103), Sc at (0.2235, 0.0000, 0.8519), Te at (0.1007, 0.0000, 0.6303) and Te at (0.1857, 0.0000, 0.2244).

Its energy above the most stable polymorph in this dataset is 120.4 meV/atom. The uncorrected formation energy comes out at -0.810 eV per atom.

---

Below is a relaxed TmMg2 crystal, with properties calculated at the PBE level.

The structure belongs to space group P6_3/mmc (No. 194); the cell edges are 6.0226, 6.0226 and 9.6845 Å and the angles 90.00°, 90.00° and 120.00°. The distinct sites, in fractional coordinates, are Tm at (0.3333, 0.6667, 0.0635), Mg at (0.0000, 0.0000, 0.0000) and Mg at (0.1710, 0.3419, 0.7500).

The formation energy comes out at -0.0535 eV per atom.

---

no.,spin magnetization (μB/cell)
1,0.00
2,3.10
3,0.00
4,0.00
5,0.00
6,0.00